(1)
Compound: CrCo2Tc
Source: the Alexandria database
Functional: GGA-PBEsol
Structure: relaxed

- VASP energy: -9.2226 eV/atom
- Mass density: 9.93 g/cm³

Lattice parameters (Å, degrees): 4.9641 7.2144 2.5022 90.00 90.00 90.00
Last column: nearest neighbours and their distance in Å.
Space group Cmmm (No. 65)
Asymmetric unit:
1 Cr 0.0000 0.0000 0.0000 [2 per cell]  2 Tc 2.48, 2 Cr 2.50, 8 Co 2.52
2 Co 0.2500 0.2500 0.5000 [4 per cell]  4 Co 2.48-2.50, 4 Cr 2.52, 4 Tc 2.52
3 Tc 0.0000 0.5000 0.0000 [2 per cell]  2 Cr 2.48, 2 Tc 2.50, 8 Co 2.52

---

(2)
Compound: CrCo2Tc
Source: the Alexandria database
Functional: GGA-PBEsol
Structure: relaxed

- VASP energy: -9.2243 eV/atom
- Mass density: 9.94 g/cm³

Lattice parameters (Å, degrees): 2.5033 3.6006 4.9629 90.00 90.00 90.00
Last column: nearest neighbours and their distance in Å.
Space group Pmmm (No. 47)
Asymmetric unit:
1 Cr 0.0000 0.0000 0.0000 [1 per cell]  2 Tc 2.48, 2 Cr 2.50, 8 Co 2.50
2 Co 0.5000 0.5000 0.2437 [2 per cell]  4 Co 2.42-2.54, 4 Cr 2.50, 4 Tc 2.53
3 Tc 0.0000 0.0000 0.5000 [1 per cell]  2 Cr 2.48, 2 Tc 2.50, 8 Co 2.53

---

(3)
Compound: CrCo2Tc
Source: the Alexandria database
Functional: GGA-PBEsol
Structure: relaxed

- VASP energy: -9.0452 eV/atom
- Mass density: 9.64 g/cm³

Lattice parameters (Å, degrees): 2.5448 2.5448 24.6904 90.00 90.00 120.00
Last column: nearest neighbours and their distance in Å.
Space group R3m (No. 160, hexagonal axes)
Asymmetric unit:
1 Cr 0.0000 0.0000 0.0000 [3 per cell]  3 Co 2.41, 6 Cr 2.54, 3 Tc 2.69
2 Co 0.0000 0.0000 0.2560 [3 per cell]  3 Cr 2.41, 9 Co 2.47-2.54
3 Co 0.0000 0.0000 0.5087 [3 per cell]  9 Co 2.47-2.54, 3 Tc 2.54
4 Tc 0.0000 0.0000 0.7580 [3 per cell]  3 Co 2.54, 6 Tc 2.54, 3 Cr 2.69